[1]
Tb2NpUN4 | PBE-GGA | optimized geometry

Space-group type   P2/m
Total magnetic moment   0.563 μB per atom
Energy relative to the elements, uncorrected   -1.442 eV per atom
Crystal system   monoclinic
Density of states at the Fermi level   1.07 states/eV per atom

```
data_Tb2NpUN4
_chemical_formula_sum 'Tb2 Np1 U1 N4'
_space_group_name_H-M_alt 'P 1'
_space_group_IT_number 1
_cell_length_a 5.981
_cell_length_b 3.458
_cell_length_c 6.037
_cell_angle_alpha 90.00
_cell_angle_beta 109.32
_cell_angle_gamma 90.00
loop_
_space_group_symop_operation_xyz
'x,y,z'
loop_
_atom_site_label
_atom_site_type_symbol
_atom_site_fract_x
_atom_site_fract_y
_atom_site_fract_z
Tb1 Tb 0.000 0.000 0.000
Tb2 Tb 0.500 0.500 0.000
Np1 Np 0.000 0.500 0.500
U1 U 0.500 0.000 0.500
N1 N 0.250 0.000 0.735
N2 N 0.261 0.500 0.265
N3 N 0.739 0.500 0.735
N4 N 0.750 0.000 0.265
```

***

[2]
TbGeI | PBE-GGA | optimized geometry

Space-group type   C2/m
Total magnetic moment   0.000 μB per atom
Energy relative to the elements, uncorrected   -0.636 eV per atom
Crystal system   monoclinic
Density of states at the Fermi level   0.60 states/eV per atom

```
data_TbGeI
_chemical_formula_sum 'Tb2 Ge2 I2'
_space_group_name_H-M_alt 'P 1'
_space_group_IT_number 1
_cell_length_a 7.848
_cell_length_b 7.848
_cell_length_c 8.521
_cell_angle_alpha 119.29
_cell_angle_beta 119.29
_cell_angle_gamma 29.52
loop_
_space_group_symop_operation_xyz
'x,y,z'
loop_
_atom_site_label
_atom_site_type_symbol
_atom_site_fract_x
_atom_site_fract_y
_atom_site_fract_z
Tb1 Tb 0.239 0.239 0.270
Tb2 Tb 0.761 0.761 0.730
Ge1 Ge 0.193 0.193 0.901
Ge2 Ge 0.807 0.807 0.099
I1 I 0.406 0.406 0.685
I2 I 0.594 0.594 0.315
```

***

[3]
AlV2H | PBE-GGA | optimized geometry

Polymorph energy (0 for the lowest one)   45 meV per atom
Space-group type   R3m
Total magnetic moment   0.000 μB per atom
Crystal system   trigonal
Density of states at the Fermi level   0.68 states/eV per atom

```
data_AlV2H
_chemical_formula_sum 'Al1 V2 H1'
_space_group_name_H-M_alt 'P 1'
_space_group_IT_number 1
_cell_length_a 6.982
_cell_length_b 6.982
_cell_length_c 6.982
_cell_angle_alpha 22.62
_cell_angle_beta 22.62
_cell_angle_gamma 22.62
loop_
_space_group_symop_operation_xyz
'x,y,z'
loop_
_atom_site_label
_atom_site_type_symbol
_atom_site_fract_x
_atom_site_fract_y
_atom_site_fract_z
Al1 Al 0.000 0.000 0.000
V1 V 0.559 0.559 0.559
V2 V 0.774 0.774 0.774
H1 H 0.167 0.167 0.167
```

***

[4]
SmPu3Ru2 | PBE-GGA | optimized geometry

Polymorph energy (0 for the lowest one)   0 meV per atom
Space-group type   Pmc2_1
Formation enthalpy at 0 K   -0.0557 eV/atom
Total magnetic moment   0.788 μB per atom
Crystal system   orthorhombic
Density of states at the Fermi level   3.30 states/eV per atom

```
data_SmPu3Ru2
_chemical_formula_sum 'Sm2 Pu6 Ru4'
_space_group_name_H-M_alt 'P 1'
_space_group_IT_number 1
_cell_length_a 4.139
_cell_length_b 9.291
_cell_length_c 6.974
_cell_angle_alpha 90.00
_cell_angle_beta 90.00
_cell_angle_gamma 90.00
loop_
_space_group_symop_operation_xyz
'x,y,z'
loop_
_atom_site_label
_atom_site_type_symbol
_atom_site_fract_x
_atom_site_fract_y
_atom_site_fract_z
Sm1 Sm 0.000 0.064 0.000
Sm2 Sm 0.000 0.936 0.500
Pu1 Pu 0.000 0.336 0.691
Pu2 Pu 0.000 0.664 0.191
Pu3 Pu 0.500 0.215 0.344
Pu4 Pu 0.500 0.431 0.924
Pu5 Pu 0.500 0.569 0.424
Pu6 Pu 0.500 0.785 0.844
Ru1 Ru 0.000 0.362 0.187
Ru2 Ru 0.000 0.638 0.687
Ru3 Ru 0.500 0.132 0.692
Ru4 Ru 0.500 0.868 0.192
```

***

[5]
Li2Si4Ni5 | PBE-GGA | optimized geometry

Space-group type   Fmmm
Total magnetic moment   0.000 μB per atom
Energy relative to the elements, uncorrected   -0.394 eV per atom
Crystal system   orthorhombic
Density of states at the Fermi level   0.51 states/eV per atom

```
data_Li2Si4Ni5
_chemical_formula_sum 'Li2 Si4 Ni5'
_space_group_name_H-M_alt 'P 1'
_space_group_IT_number 1
_cell_length_a 8.315
_cell_length_b 7.584
_cell_length_c 4.897
_cell_angle_alpha 80.42
_cell_angle_beta 64.08
_cell_angle_gamma 35.50
loop_
_space_group_symop_operation_xyz
'x,y,z'
loop_
_atom_site_label
_atom_site_type_symbol
_atom_site_fract_x
_atom_site_fract_y
_atom_site_fract_z
Li1 Li 0.109 0.109 0.891
Li2 Li 0.891 0.891 0.109
Si1 Si 0.209 0.535 0.465
Si2 Si 0.465 0.791 0.209
Si3 Si 0.535 0.209 0.791
Si4 Si 0.791 0.465 0.535
Ni1 Ni 0.000 0.000 0.500
Ni2 Ni 0.250 0.250 0.250
Ni3 Ni 0.500 0.500 0.000
Ni4 Ni 0.500 0.500 0.500
Ni5 Ni 0.750 0.750 0.750
```

***

[6]
TlSeBrCl2 | PBE-GGA | optimized geometry

Space-group type   P4/mmm
Total magnetic moment   0.000 μB per atom
Energy relative to the elements, uncorrected   -0.368 eV per atom
Crystal system   tetragonal
Density of states at the Fermi level   0.54 states/eV per atom

```
data_TlSeBrCl2
_chemical_formula_sum 'Tl1 Se1 Br1 Cl2'
_space_group_name_H-M_alt 'P 1'
_space_group_IT_number 1
_cell_length_a 5.391
_cell_length_b 5.391
_cell_length_c 5.205
_cell_angle_alpha 90.00
_cell_angle_beta 90.00
_cell_angle_gamma 90.00
loop_
_space_group_symop_operation_xyz
'x,y,z'
loop_
_atom_site_label
_atom_site_type_symbol
_atom_site_fract_x
_atom_site_fract_y
_atom_site_fract_z
Tl1 Tl 0.000 0.000 0.000
Se1 Se 0.500 0.500 0.500
Br1 Br 0.500 0.500 0.000
Cl1 Cl 0.000 0.500 0.500
Cl2 Cl 0.500 0.000 0.500
```

***

[7]
Ho5TlBi2 | PBE-GGA | optimized geometry

Space-group type   Cmcm
Formation enthalpy at 0 K   -0.2491 eV/atom
Total magnetic moment   0.000 μB per atom
Crystal system   orthorhombic
Density of states at the Fermi level   0.98 states/eV per atom

```
data_Ho5TlBi2
_chemical_formula_sum 'Ho10 Tl2 Bi4'
_space_group_name_H-M_alt 'P 1'
_space_group_IT_number 1
_cell_length_a 6.503
_cell_length_b 6.503
_cell_length_c 14.708
_cell_angle_alpha 90.00
_cell_angle_beta 90.00
_cell_angle_gamma 127.62
loop_
_space_group_symop_operation_xyz
'x,y,z'
loop_
_atom_site_label
_atom_site_type_symbol
_atom_site_fract_x
_atom_site_fract_y
_atom_site_fract_z
Ho1 Ho 0.072 0.928 0.750
Ho2 Ho 0.120 0.880 0.049
Ho3 Ho 0.120 0.880 0.451
Ho4 Ho 0.427 0.573 0.098
Ho5 Ho 0.427 0.573 0.402
Ho6 Ho 0.573 0.427 0.598
Ho7 Ho 0.573 0.427 0.902
Ho8 Ho 0.880 0.120 0.549
Ho9 Ho 0.880 0.120 0.951
Ho10 Ho 0.928 0.072 0.250
Tl1 Tl 0.215 0.785 0.250
Tl2 Tl 0.785 0.215 0.750
Bi1 Bi 0.295 0.705 0.616
Bi2 Bi 0.295 0.705 0.884
Bi3 Bi 0.705 0.295 0.116
Bi4 Bi 0.705 0.295 0.384
```

***

[8]
MgZrAs | PBE-GGA | optimized geometry

Space-group type   I4mm
Formation enthalpy at 0 K   -0.3814 eV/atom
Total magnetic moment   0.001 μB per atom
Crystal system   tetragonal
Density of states at the Fermi level   1.08 states/eV per atom

```
data_MgZrAs
_chemical_formula_sum 'Mg1 Zr1 As1'
_space_group_name_H-M_alt 'P 1'
_space_group_IT_number 1
_cell_length_a 5.814
_cell_length_b 5.814
_cell_length_c 5.814
_cell_angle_alpha 145.61
_cell_angle_beta 145.61
_cell_angle_gamma 49.43
loop_
_space_group_symop_operation_xyz
'x,y,z'
loop_
_atom_site_label
_atom_site_type_symbol
_atom_site_fract_x
_atom_site_fract_y
_atom_site_fract_z
Mg1 Mg 0.000 0.000 0.000
Zr1 Zr 0.708 0.708 0.000
As1 As 0.339 0.339 0.000
```

***

[9]
CeCo2Si2 | PBE-GGA | optimized geometry

Space-group type   I4/mmm
Total magnetic moment   0.086 μB per atom
Energy relative to the elements, uncorrected   -0.764 eV per atom
Crystal system   tetragonal
Density of states at the Fermi level   1.13 states/eV per atom

```
data_CeCo2Si2
_chemical_formula_sum 'Ce1 Co2 Si2'
_space_group_name_H-M_alt 'P 1'
_space_group_IT_number 1
_cell_length_a 5.621
_cell_length_b 5.621
_cell_length_c 5.621
_cell_angle_alpha 138.99
_cell_angle_beta 138.99
_cell_angle_gamma 59.38
loop_
_space_group_symop_operation_xyz
'x,y,z'
loop_
_atom_site_label
_atom_site_type_symbol
_atom_site_fract_x
_atom_site_fract_y
_atom_site_fract_z
Ce1 Ce 0.000 0.000 0.000
Co1 Co 0.250 0.750 0.500
Co2 Co 0.750 0.250 0.500
Si1 Si 0.370 0.370 0.000
Si2 Si 0.630 0.630 0.000
```

***

[10]
Rb5Na3F12 | PBE-GGA | optimized geometry

Space-group type   Ia-3d
Total magnetic moment   0.200 μB per atom
Energy relative to the elements, uncorrected   -2.052 eV per atom
Crystal system   cubic
Density of states at the Fermi level   0.73 states/eV per atom

```
data_Rb5Na3F12
_chemical_formula_sum 'Rb20 Na12 F48'
_space_group_name_H-M_alt 'P 1'
_space_group_IT_number 1
_cell_length_a 13.261
_cell_length_b 13.261
_cell_length_c 13.261
_cell_angle_alpha 109.47
_cell_angle_beta 109.47
_cell_angle_gamma 109.47
loop_
_space_group_symop_operation_xyz
'x,y,z'
loop_
_atom_site_label
_atom_site_type_symbol
_atom_site_fract_x
_atom_site_fract_y
_atom_site_fract_z
Rb1 Rb 0.000 0.000 0.000
Rb2 Rb 0.000 0.000 0.500
Rb3 Rb 0.000 0.500 0.000
Rb4 Rb 0.000 0.500 0.500
Rb5 Rb 0.125 0.750 0.875
Rb6 Rb 0.125 0.875 0.250
Rb7 Rb 0.250 0.125 0.875
Rb8 Rb 0.250 0.625 0.375
Rb9 Rb 0.375 0.250 0.625
Rb10 Rb 0.375 0.625 0.750
Rb11 Rb 0.500 0.000 0.000
Rb12 Rb 0.500 0.000 0.500
Rb13 Rb 0.500 0.500 0.000
Rb14 Rb 0.500 0.500 0.500
Rb15 Rb 0.625 0.375 0.250
Rb16 Rb 0.625 0.750 0.375
Rb17 Rb 0.750 0.375 0.625
Rb18 Rb 0.750 0.875 0.125
Rb19 Rb 0.875 0.125 0.750
Rb20 Rb 0.875 0.250 0.125
Na1 Na 0.125 0.250 0.375
Na2 Na 0.125 0.375 0.750
Na3 Na 0.250 0.375 0.125
Na4 Na 0.250 0.875 0.625
Na5 Na 0.375 0.125 0.250
Na6 Na 0.375 0.750 0.125
Na7 Na 0.625 0.250 0.875
Na8 Na 0.625 0.875 0.750
Na9 Na 0.750 0.125 0.375
Na10 Na 0.750 0.625 0.875
Na11 Na 0.875 0.625 0.250
Na12 Na 0.875 0.750 0.625
F1 F 0.036 0.610 0.356
F2 F 0.036 0.926 0.681
F3 F 0.074 0.255 0.110
F4 F 0.074 0.319 0.964
F5 F 0.110 0.074 0.255
F6 F 0.110 0.536 0.856
F7 F 0.144 0.755 0.681
F8 F 0.144 0.890 0.464
F9 F 0.181 0.255 0.644
F10 F 0.181 0.426 0.536
F11 F 0.245 0.319 0.856
F12 F 0.245 0.426 0.390
F13 F 0.255 0.110 0.074
F14 F 0.255 0.644 0.181
F15 F 0.319 0.856 0.245
F16 F 0.319 0.964 0.074
F17 F 0.356 0.036 0.610
F18 F 0.356 0.819 0.745
F19 F 0.390 0.245 0.426
F20 F 0.390 0.644 0.964
F21 F 0.426 0.390 0.245
F22 F 0.426 0.536 0.181
F23 F 0.464 0.144 0.890
F24 F 0.464 0.819 0.574
F25 F 0.536 0.181 0.426
F26 F 0.536 0.856 0.110
F27 F 0.574 0.464 0.819
F28 F 0.574 0.610 0.755
F29 F 0.610 0.356 0.036
F30 F 0.610 0.755 0.574
F31 F 0.644 0.181 0.255
F32 F 0.644 0.964 0.390
F33 F 0.681 0.036 0.926
F34 F 0.681 0.144 0.755
F35 F 0.745 0.356 0.819
F36 F 0.745 0.890 0.926
F37 F 0.755 0.574 0.610
F38 F 0.755 0.681 0.144
F39 F 0.819 0.574 0.464
F40 F 0.819 0.745 0.356
F41 F 0.856 0.110 0.536
F42 F 0.856 0.245 0.319
F43 F 0.890 0.464 0.144
F44 F 0.890 0.926 0.745
F45 F 0.926 0.681 0.036
F46 F 0.926 0.745 0.890
F47 F 0.964 0.074 0.319
F48 F 0.964 0.390 0.644
```

***

[11]
TbCe2NbN4 | PBE-GGA | optimized geometry

Space-group type   P2/m
Total magnetic moment   0.000 μB per atom
Energy relative to the elements, uncorrected   -1.426 eV per atom
Crystal system   monoclinic
Density of states at the Fermi level   0.55 states/eV per atom

```
data_TbCe2NbN4
_chemical_formula_sum 'Tb1 Ce2 Nb1 N4'
_space_group_name_H-M_alt 'P 1'
_space_group_IT_number 1
_cell_length_a 5.910
_cell_length_b 3.403
_cell_length_c 5.961
_cell_angle_alpha 90.00
_cell_angle_beta 109.12
_cell_angle_gamma 90.00
loop_
_space_group_symop_operation_xyz
'x,y,z'
loop_
_atom_site_label
_atom_site_type_symbol
_atom_site_fract_x
_atom_site_fract_y
_atom_site_fract_z
Tb1 Tb 0.000 0.000 0.000
Ce1 Ce 0.000 0.500 0.500
Ce2 Ce 0.500 0.000 0.500
Nb1 Nb 0.500 0.500 0.000
N1 N 0.264 0.500 0.232
N2 N 0.272 0.000 0.774
N3 N 0.728 0.000 0.226
N4 N 0.736 0.500 0.768
```